# Pm2YIn3Hg6 | Alexandria | PBE | relaxed
data_Pm2YIn3Hg6
_chemical_formula_sum 'Pm2 Y1 In3 Hg6'
_space_group_name_H-M_alt 'P 1'
_space_group_IT_number 1
_space_group_name_Hall 'P 1'
_cell_length_a 4.278
_cell_length_b 4.278
_cell_length_c 20.318
_cell_angle_alpha 90.00
_cell_angle_beta 90.00
_cell_angle_gamma 90.00
loop_
_atom_site_label
_atom_site_type_symbol
_atom_site_fract_x
_atom_site_fract_y
_atom_site_fract_z
Pm1 Pm 0.500 0.500 0.218
Hg1 Hg 0.500 0.000 0.388
Y1 Y 0.500 0.500 0.500
Hg2 Hg 0.000 0.000 0.863
Hg3 Hg 0.000 0.500 0.612
Hg4 Hg 0.500 0.000 0.612
Hg5 Hg 0.000 0.000 0.137
In1 In 0.000 0.000 0.720
In2 In 0.000 0.000 0.280
Hg6 Hg 0.000 0.500 0.388
Pm2 Pm 0.500 0.500 0.782
In3 In 0.000 0.000 0.000
# SG = P4/mmm
# Density of states at the Fermi level = 0.701 states/eV per atom
# E_tot = -2.25 eV/atom
# Calculated formation energy = -0.088 eV/atom
# Size of the total moment = 0.00 μB/cell